A geometry-optimized PrEr5Hg2 structure. Source: the Alexandria database, functional PBE-GGA.

Properties
SG = Immm
E_form = -0.173 eV/atom
calculated density = 9818 kg/m³
Fermi-level density of states = 9.00 states/eV/cell

Lattice parameters (Å, degrees): 3.727 8.209 8.209 75.75 76.88 76.88
Element x y z (fractional)
Pr (0.000, 0.000, 0.000)
Er (0.000, 0.500, 0.500)
Er (0.637, 0.587, 0.139)
Er (0.363, 0.413, 0.861)
Er (0.363, 0.861, 0.413)
Er (0.637, 0.139, 0.587)
Hg (0.743, 0.757, 0.757)
Hg (0.257, 0.243, 0.243)


A geometry-optimized Pr3Er3Hg2 structure. Source: the Alexandria database, functional PBE-GGA.

Properties
SG = Cmcm
E_form = -0.186 eV/atom
calculated density = 8891 kg/m³
Fermi-level density of states = 16.01 states/eV/cell

Lattice parameters (Å, degrees): 5.200 6.467 16.083 90.00 90.00 113.71
Element x y z (fractional)
Pr (0.960, 0.920, 0.392)
Pr (0.040, 0.080, 0.892)
Pr (0.960, 0.920, 0.108)
Pr (0.040, 0.080, 0.608)
Pr (0.713, 0.427, 0.250)
Pr (0.287, 0.573, 0.750)
Er (0.642, 0.283, 0.465)
Er (0.358, 0.717, 0.965)
Er (0.642, 0.283, 0.035)
Er (0.358, 0.717, 0.535)
Er (0.427, 0.853, 0.250)
Er (0.573, 0.147, 0.750)
Hg (0.766, 0.531, 0.877)
Hg (0.234, 0.469, 0.377)
Hg (0.766, 0.531, 0.623)
Hg (0.234, 0.469, 0.123)


A geometry-optimized Pr6ErHg2 structure. Source: the Alexandria database, functional PBE-GGA.

Properties
SG = C2/m
E_form = -0.212 eV/atom
calculated density = 8082 kg/m³
Fermi-level density of states = 9.52 states/eV/cell

Lattice parameters (Å, degrees): 3.811 6.808 12.091 75.68 80.93 73.75
Element x y z (fractional)
Pr (0.685, 0.506, 0.124)
Pr (0.315, 0.494, 0.876)
Pr (0.309, 0.789, 0.592)
Pr (0.976, 0.714, 0.335)
Pr (0.024, 0.286, 0.665)
Pr (0.691, 0.211, 0.408)
Er (0.000, 0.000, 0.000)
Hg (0.365, 0.083, 0.188)
Hg (0.635, 0.917, 0.812)


A geometry-optimized PrErHg4 structure. Source: the Alexandria database, functional PBE-GGA.

Properties
SG = C2/m
offset from the most stable computed form = 0 kJ/mol of formula units
E_form = -0.347 eV/atom
calculated density = 11832 kg/m³
Fermi-level density of states = 4.06 states/eV/cell

Lattice parameters (Å, degrees): 3.899 5.639 8.158 101.03 76.17 69.78
Element x y z (fractional)
Pr (0.500, 0.500, 0.500)
Er (0.000, 0.000, 0.000)
Hg (0.823, 0.509, 0.845)
Hg (0.348, 0.986, 0.318)
Hg (0.177, 0.491, 0.155)
Hg (0.652, 0.014, 0.682)


A geometry-optimized Pr2ErHg8 structure. Source: the Alexandria database, functional PBE-GGA.

Properties
SG = C2/m
E_form = -0.341 eV/atom
calculated density = 12149 kg/m³
Fermi-level density of states = 5.37 states/eV/cell

Lattice parameters (Å, degrees): 5.108 7.290 8.424 109.11 107.65 90.00
Element x y z (fractional)
Pr (0.790, 0.342, 0.581)
Pr (0.210, 0.658, 0.419)
Er (0.500, 0.000, 0.000)
Hg (0.407, 0.556, 0.813)
Hg (0.664, 0.889, 0.328)
Hg (0.848, 0.841, 0.696)
Hg (0.983, 0.270, 0.966)
Hg (0.152, 0.159, 0.304)
Hg (0.336, 0.111, 0.672)
Hg (0.593, 0.444, 0.187)
Hg (0.017, 0.730, 0.034)


A geometry-optimized Pr2ErHg6 structure. Source: the Alexandria database, functional PBE-GGA.

Properties
SG = P6/mmm
E_form = -0.407 eV/atom
calculated density = 11958 kg/m³
Fermi-level density of states = 6.85 states/eV/cell

Lattice parameters (Å, degrees): 3.480 8.726 8.726 120.00 90.00 90.00
Element x y z (fractional)
Pr (0.000, 0.333, 0.667)
Pr (0.000, 0.667, 0.333)
Er (0.000, 0.000, 0.000)
Hg (0.500, 0.330, 0.330)
Hg (0.500, 0.670, 0.670)
Hg (0.500, 0.000, 0.670)
Hg (0.500, 0.670, 0.000)
Hg (0.500, 0.330, 0.000)
Hg (0.500, 0.000, 0.330)


Question: E_form of number 5 (Pr2ErHg8)?
Answer: -0.341 eV/atom